No. 1
First-principles (PBE) data for Al8SiMo2 after structural relaxation, as listed in the Alexandria database.

formation energy without anion corrections = -0.19 eV per atom
total moment = 0.000 Bohr magnetons per cell
N(E_F) = 0.3708 states/eV/atom

CIF file:
```
data_Al8SiMo2
_chemical_formula_sum 'Al8 Si1 Mo2'
_symmetry_space_group_name_H-M 'P -1'
_symmetry_Int_Tables_number 2
_cell_length_a 5.263
_cell_length_b 5.264
_cell_length_c 6.785
_cell_angle_alpha 99.70
_cell_angle_beta 99.83
_cell_angle_gamma 99.98
loop_
_symmetry_equiv_pos_as_xyz
'x,y,z'
'-x,-y,-z'
loop_
_atom_site_label
_atom_site_fract_x
_atom_site_fract_y
_atom_site_fract_z
_atom_site_occupancy
Al1 0.009 0.392 0.174 1
Al2 0.185 0.814 0.500 1
Al3 0.338 0.337 0.558 1
Al4 0.391 0.008 0.174 1
Si1 0.500 0.500 0.000 1
Mo1 0.142 0.142 0.842 1
```

No. 2
First-principles (PBE) data for AlSiMo2 after structural relaxation, as listed in the Alexandria database.

formation energy without anion corrections = -0.05 eV per atom
total moment = 0.000 Bohr magnetons per cell
N(E_F) = 0.6186 states/eV/atom

CIF file:
```
data_AlSiMo2
_chemical_formula_sum 'Al4 Si4 Mo8'
_symmetry_space_group_name_H-M 'F -4 3 m'
_symmetry_Int_Tables_number 216
_symmetry_space_group_name_Hall 'F -4 2 3'
_cell_length_a 6.155
_cell_length_b 6.155
_cell_length_c 6.155
_cell_angle_alpha 90.00
_cell_angle_beta 90.00
_cell_angle_gamma 90.00
loop_
_atom_site_label
_atom_site_fract_x
_atom_site_fract_y
_atom_site_fract_z
_atom_site_occupancy
Al1 0.000 0.000 0.000 1
Si1 0.250 0.250 0.250 1
Mo1 0.000 0.000 0.500 1
Mo2 0.250 0.250 0.750 1
```

Look up the formation energy without anion corrections of the first one.
-0.19 eV per atom